Record 1
A relaxed structure of Ca2AgW. Source: Alexandria via LeMat-Bulk, functional PBE.

Output
- Calculated density: 6.717 g cm⁻³
- Energy of formation: 2.66 eV per formula unit
- Spin magnetization: 0.08 μB/cell
- E_tot: -4.288 eV/atom

a b c (Å): 5.357 3.003 5.714
angles (deg): 90.00 90.00 90.00
Site moments in Bohr magnetons follow the coordinates.
Fractional coordinates of all 4 atoms:
Ca: 0.000 0.125 0.951  0.00
Ca: 0.500 0.125 0.309  0.00
Ag: 0.500 0.625 0.774  0.00
W: 0.000 0.625 0.466  0.06



Record 2
A relaxed structure of CaNi3Ge3. Source: Alexandria via LeMat-Bulk, functional PBE.

Output
- Calculated density: 5.298 g cm⁻³
- Energy of formation: -1.03 eV per formula unit
- Spin magnetization: 0.00 μB/cell
- E_tot: -4.889 eV/atom

a b c (Å): 6.480 6.480 6.480
angles (deg): 90.00 90.00 90.00
Fractional coordinates of all 14 atoms:
Ni: 0.250 0.000 0.500
Ni: 0.000 0.500 0.250
Ni: 0.500 0.750 0.000
Ni: 0.750 0.000 0.500
Ni: 0.000 0.500 0.750
Ni: 0.500 0.250 0.000
Ge: 0.000 0.250 0.500
Ge: 0.000 0.750 0.500
Ge: 0.500 0.000 0.750
Ge: 0.750 0.500 0.000
Ge: 0.500 0.000 0.250
Ge: 0.250 0.500 0.000
Ca: 0.500 0.500 0.500
Ca: 0.000 0.000 0.000



Record 3
A relaxed structure of AgOs3I. Source: Alexandria via LeMat-Bulk, functional PBE.

Output
- Calculated density: 11.991 g cm⁻³
- Spin magnetization: 2.34 μB/cell
- Energy relative to the elements, uncorrected: 2760.9 meV/atom
- E_tot: -4.857 eV/atom

a b c (Å): 4.814 4.814 4.814
angles (deg): 90.00 90.00 90.00
Site moments in Bohr magnetons follow the coordinates.
Fractional coordinates of all 5 atoms:
I: 0.000 0.000 0.000  -0.02
Os: 0.000 0.500 0.000  0.74
Os: 0.000 0.000 0.500  0.63
Os: 0.500 0.000 0.000  0.89
Ag: 0.500 0.500 0.500  0.02